Compound: TeIrAu2
Source: the Alexandria database
Functional: PBE
Structure: relaxed

It has space group Immm (No. 71), with a = 3.121 Å, b = 4.731 Å, c = 10.281 Å, α = 90.00°, β = 90.00° and γ = 90.00°. The asymmetric unit holds Te at (0.000, 0.000, 0.000), Ir at (0.000, 0.000, 0.500) and Au at (0.000, 0.500, 0.234).

The value obtained for the density of states at the Fermi level is 2.47 states/eV/f.u. Its total energy is -4.25 eV per atom.

---

Compound: CsKSe2O6
Source: the Alexandria database
Functional: PBE
Structure: relaxed

It has space group C2/c (No. 15), with a = 11.306 Å, b = 11.496 Å, c = 6.867 Å, α = 90.00°, β = 105.75° and γ = 90.00°. The asymmetric unit holds Cs at (0.000, 0.193, 0.250), K at (0.000, 0.389, 0.750), Se at (0.218, 0.076, 0.777), O at (0.128, 0.420, 0.154), O at (0.162, 0.210, 0.710) and O at (0.169, 0.018, 0.071).

The value obtained for the density of states at the Fermi level is 3.20 states/eV/f.u. Its total energy is -4.96 eV per atom.

---

Compound: Ba2SrCr
Source: the Alexandria database
Functional: PBE
Structure: relaxed

It has space group P4/mmm (No. 123), with a = 5.918 Å, b = 5.918 Å, c = 5.304 Å, α = 90.00°, β = 90.00° and γ = 90.00°. The asymmetric unit holds Ba at (0.000, 0.500, 0.000), Sr at (0.000, 0.000, 0.500) and Cr at (0.500, 0.500, 0.500).

The value obtained for the density of states at the Fermi level is 5.71 states/eV/f.u. Its total energy is -3.27 eV per atom.

---

Compound: LiThMg2Cd4
Source: the Alexandria database
Functional: PBE
Structure: relaxed

It has space group R-3m (No. 166, hexagonal axes), with a = 4.8920 Å, b = 4.8920 Å, c = 26.3400 Å, α = 90.00°, β = 90.00° and γ = 120.00°. The asymmetric unit holds Li at (0.0000, 0.0000, 0.0000), Th at (0.0000, 0.0000, 0.5000), Mg at (0.0000, 0.0000, 0.2522), Cd at (0.0000, 0.0000, 0.1079) and Cd at (0.0000, 0.0000, 0.3691).

The value obtained for the density of states at the Fermi level is 3.54 states/eV/f.u. Its total energy is -2.18 eV per atom.

---

Compound: Zr2FeP
Source: the Alexandria database
Functional: PBE
Structure: relaxed

It has space group Cmmm (No. 65), with a = 5.991 Å, b = 6.598 Å, c = 3.423 Å, α = 90.00°, β = 90.00° and γ = 90.00°. The asymmetric unit holds Zr at (0.250, 0.250, 0.000), Fe at (0.000, 0.000, 0.500) and P at (0.000, 0.500, 0.500).

The value obtained for the density of states at the Fermi level is 2.97 states/eV/f.u. Its total energy is -8.25 eV per atom.

---

Compound: H2PbAu2
Source: the Alexandria database
Functional: PBE
Structure: relaxed

It has space group P4/mbm (No. 127), with a = 7.785 Å, b = 7.785 Å, c = 2.954 Å, α = 90.00°, β = 90.00° and γ = 90.00°. The asymmetric unit holds H at (0.217, 0.283, 0.000), Pb at (0.000, 0.000, 0.500) and Au at (0.129, 0.371, 0.500).

The value obtained for the density of states at the Fermi level is 1.67 states/eV/f.u. Its total energy is -3.09 eV per atom.